The following is a DFT calculation (PBE-GGA) of a geometry-optimized YBeCoB structure.

```
YBeCoB
1.0
0.000 2.934 2.934
2.934 0.000 2.934
2.934 2.934 0.000
Y Be Co B
1 1 1 1
Cartesian
0.000 0.000 0.000
1.467 1.467 1.467
4.401 4.401 4.401
2.934 2.934 2.934
```

Its spin magnetization is 0.75 μB per formula unit. For the final energy, the calculation gives -5.47 eV/atom. Its space group is No. 216. The relative energy among the computed polymorphs comes out at 0.3142 eV per atom.

=====

The following is a DFT calculation (PBE-GGA) of a geometry-optimized YBeCoB structure.

```
YBeCoB
1.0
0.000 2.915 2.915
2.915 0.000 2.915
2.915 2.915 0.000
Y Be Co B
1 1 1 1
Cartesian
0.000 0.000 0.000
4.373 4.373 4.373
2.915 2.915 2.915
1.458 1.458 1.458
```

Its spin magnetization is 0.01 μB per formula unit. For the final energy, the calculation gives -5.79 eV/atom. Its space group is No. 216. The relative energy among the computed polymorphs comes out at 0.0000 eV per atom.

=====

The following is a DFT calculation (PBE-GGA) of a geometry-optimized ZrBeCoB structure.

```
ZrBeCoB
1.0
0.000 2.827 2.827
2.827 0.000 2.827
2.827 2.827 0.000
Zr Be Co B
1 1 1 1
Cartesian
0.000 0.000 0.000
1.413 1.413 1.413
4.240 4.240 4.240
2.827 2.827 2.827
```

Its spin magnetization is 0.00 μB per formula unit. For the final energy, the calculation gives -6.40 eV/atom. Its space group is No. 216. The relative energy among the computed polymorphs comes out at 0.1941 eV per atom.

=====

The following is a DFT calculation (PBE-GGA) of a geometry-optimized ZrBeCoB structure.

```
ZrBeCoB
1.0
0.000 2.816 2.816
2.816 0.000 2.816
2.816 2.816 0.000
Zr Be Co B
1 1 1 1
Cartesian
0.000 0.000 0.000
4.224 4.224 4.224
2.816 2.816 2.816
1.408 1.408 1.408
```

Its spin magnetization is 0.03 μB per formula unit. For the final energy, the calculation gives -6.59 eV/atom. Its space group is No. 216. The relative energy among the computed polymorphs comes out at 0.0000 eV per atom.

=====

The following is a DFT calculation (PBE-GGA) of a geometry-optimized ZrBeCoB structure.

```
ZrBeCoB
1.0
0.000 2.856 2.856
2.856 0.000 2.856
2.856 2.856 0.000
Zr Be Co B
1 1 1 1
Cartesian
0.000 0.000 0.000
2.856 2.856 2.856
4.283 4.283 4.283
1.428 1.428 1.428
```

Its spin magnetization is 0.16 μB per formula unit. For the final energy, the calculation gives -6.42 eV/atom. Its space group is No. 216. The relative energy among the computed polymorphs comes out at 0.1705 eV per atom.

=====

The following is a DFT calculation (PBE-GGA) of a geometry-optimized ZrBeCo2B structure.

```
ZrBeCo2B
1.0
-1.803 1.803 4.254
1.803 -1.803 4.254
1.803 1.803 -4.254
Zr Be Co B
1 1 2 1
Cartesian
0.000 0.000 0.000
0.000 0.000 5.261
1.803 0.000 2.214
0.000 1.803 2.214
0.000 0.000 3.158
```

Its spin magnetization is 0.00 μB per formula unit. For the final energy, the calculation gives -7.12 eV/atom. Its space group is No. 107.

=====

The following is a DFT calculation (PBE-GGA) of a geometry-optimized BeCuB2 structure.

```
BeCuB2
1.0
0.000 2.540 2.540
2.540 0.000 2.540
2.540 2.540 0.000
Be Cu B
1 1 2
Cartesian
0.000 0.000 0.000
1.270 1.270 1.270
2.540 2.540 2.540
3.810 3.810 3.810
```

For the final energy, the calculation gives -4.21 eV/atom. Its space group is No. 216.

=====

The following is a DFT calculation (PBE-GGA) of a geometry-optimized Be2CuB structure.

```
Be2CuB
1.0
0.000 2.543 2.543
2.543 0.000 2.543
2.543 2.543 0.000
Be Cu B
2 1 1
Cartesian
0.000 0.000 0.000
1.272 1.272 1.272
2.543 2.543 2.543
3.815 3.815 3.815
```

For the final energy, the calculation gives -4.15 eV/atom. Its space group is No. 216.

=====

The following is a DFT calculation (PBE-GGA) of a geometry-optimized BeCuB4 structure.

```
BeCuB4
1.0
-1.481 2.568 3.119
1.481 -2.568 3.119
1.481 2.568 -3.119
Be Cu B
1 1 4
Cartesian
0.000 0.000 0.000
0.000 0.000 3.119
1.481 -0.859 1.489
1.481 0.859 1.489
0.000 1.708 1.630
0.000 3.427 1.630
```

For the final energy, the calculation gives -5.43 eV/atom. Its space group is No. 71. The relative energy among the computed polymorphs comes out at 0.0454 eV per atom.

=====

The following is a DFT calculation (PBE-GGA) of a geometry-optimized BeCu2B structure.

```
BeCu2B
1.0
5.281 0.000 0.000
0.000 5.281 0.000
0.000 0.000 5.281
Be Cu B
4 8 4
Cartesian
0.000 0.000 0.000
0.000 0.000 2.641
0.000 2.641 0.000
2.641 0.000 0.000
1.362 1.362 1.362
1.362 1.362 3.919
1.362 3.919 1.362
1.362 3.919 3.919
3.919 1.362 1.362
3.919 1.362 3.919
3.919 3.919 1.362
3.919 3.919 3.919
0.000 2.641 2.641
2.641 0.000 2.641
2.641 2.641 0.000
2.641 2.641 2.641
```

For the final energy, the calculation gives -4.18 eV/atom. Its space group is No. 221. The relative energy among the computed polymorphs comes out at 0.0000 eV per atom.

=====

The following is a DFT calculation (PBE-GGA) of a geometry-optimized Be2CuB structure.

```
Be2CuB
1.0
0.000 2.543 2.543
2.543 0.000 2.543
2.543 2.543 0.000
Be Cu B
2 1 1
Cartesian
0.000 0.000 0.000
1.272 1.272 1.272
3.815 3.815 3.815
2.543 2.543 2.543
```

For the final energy, the calculation gives -4.15 eV/atom. Its space group is No. 216.

=====

The following is a DFT calculation (PBE-GGA) of a geometry-optimized BeCu2B structure.

```
BeCu2B
1.0
0.000 2.664 2.664
2.664 0.000 2.664
2.664 2.664 0.000
Be Cu B
1 2 1
Cartesian
0.000 0.000 0.000
2.664 2.664 2.664
3.996 3.996 3.996
1.332 1.332 1.332
```

For the final energy, the calculation gives -4.05 eV/atom. Its space group is No. 216. The relative energy among the computed polymorphs comes out at 0.1294 eV per atom.

=====

The following is a DFT calculation (PBE-GGA) of a geometry-optimized BeCuB4 structure.

```
BeCuB4
1.0
2.957 0.000 0.000
-1.478 2.561 0.000
0.000 0.000 6.252
Be Cu B
1 1 4
Cartesian
0.000 0.000 0.000
0.000 0.000 3.126
0.000 1.707 1.374
0.000 1.707 4.878
1.478 0.854 1.374
1.478 0.854 4.878
```

For the final energy, the calculation gives -5.48 eV/atom. Its space group is No. 191. The relative energy among the computed polymorphs comes out at 0.0000 eV per atom.

=====

The following is a DFT calculation (PBE-GGA) of a geometry-optimized HfBeCuB structure.

```
HfBeCuB
1.0
0.000 2.873 2.873
2.873 0.000 2.873
2.873 2.873 0.000
Hf Be Cu B
1 1 1 1
Cartesian
0.000 0.000 0.000
1.436 1.436 1.436
4.309 4.309 4.309
2.873 2.873 2.873
```

Its spin magnetization is 0.00 μB per formula unit. For the final energy, the calculation gives -5.53 eV/atom. Its space group is No. 216. The relative energy among the computed polymorphs comes out at 0.3295 eV per atom.

=====

The following is a DFT calculation (PBE-GGA) of a geometry-optimized HfBeCuB structure.

```
HfBeCuB
1.0
0.000 2.856 2.856
2.856 0.000 2.856
2.856 2.856 0.000
Hf Be Cu B
1 1 1 1
Cartesian
0.000 0.000 0.000
4.283 4.283 4.283
2.856 2.856 2.856
1.428 1.428 1.428
```

Its spin magnetization is 0.00 μB per formula unit. For the final energy, the calculation gives -5.86 eV/atom. Its space group is No. 216. The relative energy among the computed polymorphs comes out at 0.0000 eV per atom.

=====

The following is a DFT calculation (PBE-GGA) of a geometry-optimized BeCuHgB structure.

```
BeCuHgB
1.0
0.000 2.881 2.881
2.881 0.000 2.881
2.881 2.881 0.000
Be Cu Hg B
1 1 1 1
Cartesian
0.000 0.000 0.000
4.321 4.321 4.321
1.440 1.440 1.440
2.881 2.881 2.881
```

For the final energy, the calculation gives -2.68 eV/atom. Its space group is No. 216. The relative energy among the computed polymorphs comes out at 0.0000 eV per atom.

=====

The following is a DFT calculation (PBE-GGA) of a geometry-optimized BeCuHgB structure.

```
BeCuHgB
1.0
0.000 2.940 2.940
2.940 0.000 2.940
2.940 2.940 0.000
Be Cu Hg B
1 1 1 1
Cartesian
0.000 0.000 0.000
2.940 2.940 2.940
4.410 4.410 4.410
1.470 1.470 1.470
```

For the final energy, the calculation gives -2.61 eV/atom. Its space group is No. 216. The relative energy among the computed polymorphs comes out at 0.0670 eV per atom.

=====

The following is a DFT calculation (PBE-GGA) of a geometry-optimized BeCuBIr structure.

```
BeCuBIr
1.0
0.000 2.717 2.717
2.717 0.000 2.717
2.717 2.717 0.000
Be Cu B Ir
1 1 1 1
Cartesian
0.000 0.000 0.000
4.076 4.076 4.076
2.717 2.717 2.717
1.359 1.359 1.359
```

Its spin magnetization is 0.00 μB per formula unit. For the final energy, the calculation gives -5.71 eV/atom. Its space group is No. 216. The relative energy among the computed polymorphs comes out at 0.0000 eV per atom.

=====

The following is a DFT calculation (PBE-GGA) of a geometry-optimized BeCuBIr structure.

```
BeCuBIr
1.0
0.000 2.782 2.782
2.782 0.000 2.782
2.782 2.782 0.000
Be Cu B Ir
1 1 1 1
Cartesian
0.000 0.000 0.000
2.782 2.782 2.782
1.391 1.391 1.391
4.173 4.173 4.173
```

Its spin magnetization is 0.00 μB per formula unit. For the final energy, the calculation gives -5.16 eV/atom. Its space group is No. 216. The relative energy among the computed polymorphs comes out at 0.5576 eV per atom.

=====

The following is a DFT calculation (PBE-GGA) of a geometry-optimized LiBeCu4B2 structure.

```
LiBeCu4B2
1.0
3.755 0.000 0.000
0.000 3.755 0.000
0.000 0.000 5.304
Li Be Cu B
1 1 4 2
Cartesian
0.000 0.000 0.000
1.877 1.877 2.652
0.000 1.877 1.363
0.000 1.877 3.941
1.877 0.000 1.363
1.877 0.000 3.941
0.000 0.000 2.652
1.877 1.877 0.000
```

For the final energy, the calculation gives -4.02 eV/atom. Its space group is No. 123.

=====

The following is a DFT calculation (PBE-GGA) of a geometry-optimized LuBeCuB structure.

```
LuBeCuB
1.0
0.000 2.925 2.925
2.925 0.000 2.925
2.925 2.925 0.000
Lu Be Cu B
1 1 1 1
Cartesian
0.000 0.000 0.000
1.462 1.462 1.462
4.387 4.387 4.387
2.925 2.925 2.925
```

Its spin magnetization is 0.00 μB per formula unit. For the final energy, the calculation gives -4.24 eV/atom. Its space group is No. 216. The relative energy among the computed polymorphs comes out at 0.1969 eV per atom.

=====

The following is a DFT calculation (PBE-GGA) of a geometry-optimized LuBeCuB structure.

```
LuBeCuB
1.0
0.000 2.930 2.930
2.930 0.000 2.930
2.930 2.930 0.000
Lu Be Cu B
1 1 1 1
Cartesian
0.000 0.000 0.000
4.396 4.396 4.396
2.930 2.930 2.930
1.465 1.465 1.465
```

Its spin magnetization is 0.00 μB per formula unit. For the final energy, the calculation gives -4.44 eV/atom. Its space group is No. 216. The relative energy among the computed polymorphs comes out at 0.0000 eV per atom.

=====

The following is a DFT calculation (PBE-GGA) of a geometry-optimized BeCu4NiB2 structure.

```
BeCu4NiB2
1.0
3.515 0.000 0.000
0.000 3.515 0.000
0.000 0.000 6.252
Be Cu Ni B
1 4 1 2
Cartesian
0.000 0.000 0.000
0.000 1.757 1.425
0.000 1.757 4.827
1.757 0.000 1.425
1.757 0.000 4.827
1.757 1.757 3.126
0.000 0.000 3.126
1.757 1.757 0.000
```

Its spin magnetization is 0.00 μB per formula unit. For the final energy, the calculation gives -4.38 eV/atom. Its space group is No. 123.

=====

The following is a DFT calculation (PBE-GGA) of a geometry-optimized BeCuBOs structure.

```
BeCuBOs
1.0
0.000 2.709 2.709
2.709 0.000 2.709
2.709 2.709 0.000
Be Cu B Os
1 1 1 1
Cartesian
0.000 0.000 0.000
4.064 4.064 4.064
2.709 2.709 2.709
1.355 1.355 1.355
```

Its spin magnetization is 0.00 μB per formula unit. For the final energy, the calculation gives -6.13 eV/atom. Its space group is No. 216. The relative energy among the computed polymorphs comes out at 0.0000 eV per atom.

=====

The following is a DFT calculation (PBE-GGA) of a geometry-optimized BeCuBOs structure.

```
BeCuBOs
1.0
0.000 2.767 2.767
2.767 0.000 2.767
2.767 2.767 0.000
Be Cu B Os
1 1 1 1
Cartesian
0.000 0.000 0.000
2.767 2.767 2.767
1.383 1.383 1.383
4.150 4.150 4.150
```

Its spin magnetization is 0.00 μB per formula unit. For the final energy, the calculation gives -5.50 eV/atom. Its space group is No. 216. The relative energy among the computed polymorphs comes out at 0.6322 eV per atom.

=====

The following is a DFT calculation (PBE-GGA) of a geometry-optimized BeCuBPd structure.

```
BeCuBPd
1.0
0.000 2.783 2.783
2.783 0.000 2.783
2.783 2.783 0.000
Be Cu B Pd
1 1 1 1
Cartesian
0.000 0.000 0.000
2.783 2.783 2.783
4.174 4.174 4.174
1.391 1.391 1.391
```

For the final energy, the calculation gives -4.41 eV/atom. Its space group is No. 216. The relative energy among the computed polymorphs comes out at 0.3093 eV per atom.

=====

The following is a DFT calculation (PBE-GGA) of a geometry-optimized BeCuBPd structure.

```
BeCuBPd
1.0
0.000 2.728 2.728
2.728 0.000 2.728
2.728 2.728 0.000
Be Cu B Pd
1 1 1 1
Cartesian
0.000 0.000 0.000
4.093 4.093 4.093
2.728 2.728 2.728
1.364 1.364 1.364
```

For the final energy, the calculation gives -4.72 eV/atom. Its space group is No. 216. The relative energy among the computed polymorphs comes out at 0.0000 eV per atom.

=====

The following is a DFT calculation (PBE-GGA) of a geometry-optimized BeCuReB structure.

```
BeCuReB
1.0
0.000 2.718 2.718
2.718 0.000 2.718
2.718 2.718 0.000
Be Cu Re B
1 1 1 1
Cartesian
0.000 0.000 0.000
4.077 4.077 4.077
1.359 1.359 1.359
2.718 2.718 2.718
```

Its spin magnetization is 0.00 μB per formula unit. For the final energy, the calculation gives -6.31 eV/atom. Its space group is No. 216. The relative energy among the computed polymorphs comes out at 0.0000 eV per atom.

=====

The following is a DFT calculation (PBE-GGA) of a geometry-optimized BeCuReB structure.

```
BeCuReB
1.0
0.000 2.774 2.774
2.774 0.000 2.774
2.774 2.774 0.000
Be Cu Re B
1 1 1 1
Cartesian
0.000 0.000 0.000
2.774 2.774 2.774
4.161 4.161 4.161
1.387 1.387 1.387
```

Its spin magnetization is 0.01 μB per formula unit. For the final energy, the calculation gives -5.64 eV/atom. Its space group is No. 216. The relative energy among the computed polymorphs comes out at 0.6647 eV per atom.